--- w ---
A relaxed Tb6DyEr2 crystal, computed with PBE.

The structure in CIF format:
```
data_Tb6DyEr2
_cell_length_a 3.5420
_cell_length_b 8.6621
_cell_length_c 9.3581
_cell_angle_alpha 90.05
_cell_angle_beta 100.85
_cell_angle_gamma 90.07
_symmetry_space_group_name_H-M 'P -1'
_symmetry_Int_Tables_number 2
loop_
_symmetry_equiv_pos_as_xyz
'x,y,z'
'-x,-y,-z'
loop_
_atom_site_label
_atom_site_fract_x
_atom_site_fract_y
_atom_site_fract_z
Tb1 0.1113 0.1661 0.2210
Tb2 0.2215 0.8337 0.4434
Tb3 0.3332 0.5001 0.6674
Dy1 0.0000 0.5000 0.0000
Er1 0.4446 0.1667 0.8895
```

--- x ---
A relaxed Tb6DyEr2 crystal, computed with PBE.

The structure in CIF format:
```
data_Tb6DyEr2
_cell_length_a 12.7177
_cell_length_b 14.1529
_cell_length_c 6.5443
_cell_angle_alpha 90.00
_cell_angle_beta 104.14
_cell_angle_gamma 90.00
_symmetry_space_group_name_H-M 'C 1 2/c 1'
_symmetry_Int_Tables_number 15
loop_
_symmetry_equiv_pos_as_xyz
'x,y,z'
'-x,-y,-z'
'-x,y,-z+1/2'
'x,-y,z+1/2'
'x+1/2,y+1/2,z'
'-x+1/2,-y+1/2,-z'
'-x+1/2,y+1/2,-z+1/2'
'x+1/2,-y+1/2,z+1/2'
loop_
_atom_site_label
_atom_site_fract_x
_atom_site_fract_y
_atom_site_fract_z
Tb1 0.0362 0.1842 0.0032
Tb2 0.1342 0.4122 0.8177
Tb3 0.2388 0.2004 0.7253
Dy1 0.0000 0.3796 0.2500
Er1 0.1414 0.0232 0.3665
```

What should be chosen as the least stable of them? Choose x.

--- w ---
A relaxed Tb3Dy7Er2 crystal, computed with PBE.

The structure in CIF format:
```
data_Tb3Dy7Er2
_cell_length_a 5.6618
_cell_length_b 37.5753
_cell_length_c 3.5632
_cell_angle_alpha 90.00
_cell_angle_beta 90.00
_cell_angle_gamma 90.00
_symmetry_space_group_name_H-M 'C m m m'
_symmetry_Int_Tables_number 65
_symmetry_space_group_name_Hall '-C 2 2'
loop_
_atom_site_label
_atom_site_fract_x
_atom_site_fract_y
_atom_site_fract_z
Tb1 0.0000 0.0000 0.0000
Tb2 0.0000 0.1848 0.0000
Dy1 0.0000 0.0924 0.5000
Dy2 0.0000 0.2689 0.5000
Dy3 0.0000 0.4278 0.0000
Dy4 0.0000 0.5000 0.5000
Er1 0.0000 0.3524 0.5000
```

--- x ---
A relaxed Tb3Dy7Er2 crystal, computed with PBE.

The structure in CIF format:
```
data_Tb3Dy7Er2
_cell_length_a 6.1329
_cell_length_b 5.5212
_cell_length_c 11.9329
_cell_angle_alpha 90.00
_cell_angle_beta 92.76
_cell_angle_gamma 90.00
_symmetry_space_group_name_H-M 'P 1 2/m 1'
_symmetry_Int_Tables_number 10
loop_
_symmetry_equiv_pos_as_xyz
'x,y,z'
'-x,-y,-z'
'-x,y,-z'
'x,-y,z'
loop_
_atom_site_label
_atom_site_fract_x
_atom_site_fract_y
_atom_site_fract_z
Tb1 0.0000 0.0000 0.0000
Tb2 0.4507 0.5000 0.3342
Dy1 0.0593 0.5000 0.8197
Dy2 0.2645 0.0000 0.5507
Dy3 0.4096 0.0000 0.8347
Dy4 0.5000 0.5000 0.0000
Er1 0.1211 0.0000 0.2809
```

What should be chosen as the least stable of them? Choose x.

--- w ---
A relaxed Tb3Dy4Er crystal, computed with PBE.

The structure in CIF format:
```
data_Tb3Dy4Er
_cell_length_a 11.2198
_cell_length_b 7.2414
_cell_length_c 6.2620
_cell_angle_alpha 90.00
_cell_angle_beta 90.00
_cell_angle_gamma 90.00
_symmetry_space_group_name_H-M 'P m n 21'
_symmetry_Int_Tables_number 31
loop_
_symmetry_equiv_pos_as_xyz
'x,y,z'
'-x+1/2,-y,z+1/2'
'-x,y,z'
'x+1/2,-y,z+1/2'
loop_
_atom_site_label
_atom_site_fract_x
_atom_site_fract_y
_atom_site_fract_z
Tb1 0.0000 0.1254 0.0000
Tb2 0.2500 0.1250 0.3329
Dy1 0.0000 0.3752 0.5009
Dy2 0.0000 0.6247 0.9997
Dy3 0.2492 0.6250 0.3332
Er1 0.0000 0.8748 0.4999
```

--- x ---
A relaxed Tb3Dy4Er crystal, computed with PBE.

The structure in CIF format:
```
data_Tb3Dy4Er
_cell_length_a 3.4710
_cell_length_b 6.6212
_cell_length_c 22.3753
_cell_angle_alpha 90.00
_cell_angle_beta 90.00
_cell_angle_gamma 90.00
_symmetry_space_group_name_H-M 'I m m m'
_symmetry_Int_Tables_number 71
_symmetry_space_group_name_Hall '-I 2 2'
loop_
_atom_site_label
_atom_site_fract_x
_atom_site_fract_y
_atom_site_fract_z
Tb1 0.0000 0.0000 0.0000
Tb2 0.0000 0.0000 0.2395
Dy1 0.0000 0.2552 0.3755
Er1 0.0000 0.0000 0.5000
```

What should be chosen as the least stable of them? Choose x.

--- w ---
A relaxed Tb4DyEr7 crystal, computed with PBE.

The structure in CIF format:
```
data_Tb4DyEr7
_cell_length_a 6.4511
_cell_length_b 6.7300
_cell_length_c 8.9604
_cell_angle_alpha 85.44
_cell_angle_beta 76.84
_cell_angle_gamma 81.76
_symmetry_space_group_name_H-M 'P -1'
_symmetry_Int_Tables_number 2
loop_
_symmetry_equiv_pos_as_xyz
'x,y,z'
'-x,-y,-z'
loop_
_atom_site_label
_atom_site_fract_x
_atom_site_fract_y
_atom_site_fract_z
Tb1 0.1381 0.3089 0.2851
Tb2 0.3387 0.8827 0.6911
Dy1 0.5000 0.5000 0.0000
Er1 0.0146 0.2511 0.9490
Er2 0.1835 0.8002 0.3586
Er3 0.3107 0.3927 0.6130
Er4 0.5000 0.0000 0.0000
```

--- x ---
A relaxed Tb4DyEr7 crystal, computed with PBE.

The structure in CIF format:
```
data_Tb4DyEr7
_cell_length_a 11.9691
_cell_length_b 5.8098
_cell_length_c 12.5901
_cell_angle_alpha 90.00
_cell_angle_beta 118.31
_cell_angle_gamma 90.00
_symmetry_space_group_name_H-M 'C 1 2/m 1'
_symmetry_Int_Tables_number 12
loop_
_symmetry_equiv_pos_as_xyz
'x,y,z'
'-x,-y,-z'
'-x,y,-z'
'x,-y,z'
'x+1/2,y+1/2,z'
'-x+1/2,-y+1/2,-z'
'-x+1/2,y+1/2,-z'
'x+1/2,-y+1/2,z'
loop_
_atom_site_label
_atom_site_fract_x
_atom_site_fract_y
_atom_site_fract_z
Tb1 0.1378 0.0000 0.2758
Tb2 0.2384 0.5000 0.1773
Dy1 0.0000 0.5000 0.5000
Er1 0.0000 0.0000 0.5000
Er2 0.0634 0.5000 0.8192
Er3 0.1332 0.0000 0.9989
Er4 0.2119 0.5000 0.4239
```

What should be chosen as the least stable of them? Choose x.

--- w ---
A relaxed Tb6DyEr12 crystal, computed with PBE.

The structure in CIF format:
```
data_Tb6DyEr12
_cell_length_a 11.7709
_cell_length_b 11.7709
_cell_length_c 15.0466
_cell_angle_alpha 90.00
_cell_angle_beta 90.00
_cell_angle_gamma 120.00
_symmetry_space_group_name_H-M 'R -3'
_symmetry_Int_Tables_number 148
_symmetry_space_group_name_Hall '-R 3'
loop_
_atom_site_label
_atom_site_fract_x
_atom_site_fract_y
_atom_site_fract_z
Tb1 0.0094 0.4220 0.1774
Dy1 0.0000 0.0000 0.5000
Er1 0.0201 0.8380 0.6917
Er2 0.0404 0.8524 0.9154
```

--- x ---
A relaxed Tb6DyEr12 crystal, computed with PBE.

The structure in CIF format:
```
data_Tb6DyEr12
_cell_length_a 14.7843
_cell_length_b 14.7843
_cell_length_c 10.2474
_cell_angle_alpha 90.00
_cell_angle_beta 90.00
_cell_angle_gamma 120.00
_symmetry_space_group_name_H-M 'R -3 m'
_symmetry_Int_Tables_number 166
_symmetry_space_group_name_Hall '-R 3 2"'
loop_
_atom_site_label
_atom_site_fract_x
_atom_site_fract_y
_atom_site_fract_z
Tb1 0.0718 0.5359 0.2195
Dy1 0.0000 0.0000 0.0000
Er1 0.0000 0.3879 0.5000
Er2 0.0780 0.1560 0.2544
```

What should be chosen as the least stable of them? Choose x.

--- w ---
A relaxed Tb2Dy5Er12 crystal, computed with PBE.

The structure in CIF format:
```
data_Tb2Dy5Er12
_cell_length_a 15.3570
_cell_length_b 9.1751
_cell_length_c 8.4936
_cell_angle_alpha 90.00
_cell_angle_beta 92.17
_cell_angle_gamma 90.00
_symmetry_space_group_name_H-M 'C 1 2/m 1'
_symmetry_Int_Tables_number 12
loop_
_symmetry_equiv_pos_as_xyz
'x,y,z'
'-x,-y,-z'
'-x,y,-z'
'x,-y,z'
'x+1/2,y+1/2,z'
'-x+1/2,-y+1/2,-z'
'-x+1/2,y+1/2,-z'
'x+1/2,-y+1/2,z'
loop_
_atom_site_label
_atom_site_fract_x
_atom_site_fract_y
_atom_site_fract_z
Tb1 0.0000 0.1735 0.0000
Dy1 0.0000 0.5000 0.5000
Dy2 0.2061 0.0000 0.0204
Dy3 0.2309 0.5000 0.5723
Er1 0.0567 0.0000 0.3351
Er2 0.0747 0.5000 0.8729
Er3 0.1300 0.1914 0.6668
Er4 0.1493 0.3206 0.2406
```

--- x ---
A relaxed Tb2Dy5Er12 crystal, computed with PBE.

The structure in CIF format:
```
data_Tb2Dy5Er12
_cell_length_a 6.0856
_cell_length_b 9.3009
_cell_length_c 10.5346
_cell_angle_alpha 101.01
_cell_angle_beta 95.56
_cell_angle_gamma 90.10
_symmetry_space_group_name_H-M 'P -1'
_symmetry_Int_Tables_number 2
loop_
_symmetry_equiv_pos_as_xyz
'x,y,z'
'-x,-y,-z'
loop_
_atom_site_label
_atom_site_fract_x
_atom_site_fract_y
_atom_site_fract_z
Tb1 0.0791 0.3159 0.4735
Dy1 0.2370 0.9473 0.4210
Dy2 0.3419 0.3683 0.0525
Dy3 0.5000 0.0000 0.0000
Er1 0.0260 0.1052 0.1575
Er2 0.1315 0.5261 0.7898
Er3 0.1842 0.7367 0.1049
Er4 0.2894 0.1581 0.7372
Er5 0.3950 0.5789 0.3683
Er6 0.4473 0.7895 0.6845
```

What should be chosen as the least stable of them? Choose w.

--- w ---
A relaxed Tb5Dy2Er3 crystal, computed with PBE.

The structure in CIF format:
```
data_Tb5Dy2Er3
_cell_length_a 6.6144
_cell_length_b 27.6696
_cell_length_c 6.9401
_cell_angle_alpha 90.00
_cell_angle_beta 90.00
_cell_angle_gamma 90.00
_symmetry_space_group_name_H-M 'I b a m'
_symmetry_Int_Tables_number 72
_symmetry_space_group_name_Hall '-I 2 2c'
loop_
_atom_site_label
_atom_site_fract_x
_atom_site_fract_y
_atom_site_fract_z
Tb1 0.0000 0.0000 0.2500
Tb2 0.0000 0.3163 0.2500
Tb3 0.0390 0.2093 0.0000
Dy1 0.2225 0.0958 0.5000
Er1 0.0000 0.5000 0.2500
Er2 0.2268 0.4088 0.5000
```

--- x ---
A relaxed Tb5Dy2Er3 crystal, computed with PBE.

The structure in CIF format:
```
data_Tb5Dy2Er3
_cell_length_a 10.5746
_cell_length_b 15.5939
_cell_length_c 9.4426
_cell_angle_alpha 90.00
_cell_angle_beta 123.84
_cell_angle_gamma 90.00
_symmetry_space_group_name_H-M 'C 1 2/c 1'
_symmetry_Int_Tables_number 15
loop_
_symmetry_equiv_pos_as_xyz
'x,y,z'
'-x,-y,-z'
'-x,y,-z+1/2'
'x,-y,z+1/2'
'x+1/2,y+1/2,z'
'-x+1/2,-y+1/2,-z'
'-x+1/2,y+1/2,-z+1/2'
'x+1/2,-y+1/2,z+1/2'
loop_
_atom_site_label
_atom_site_fract_x
_atom_site_fract_y
_atom_site_fract_z
Tb1 0.0000 0.0292 0.2500
Tb2 0.0000 0.2254 0.2500
Tb3 0.0000 0.2693 0.7500
Tb4 0.2304 0.1199 0.7116
Dy1 0.1391 0.3748 0.5469
Er1 0.0000 0.4765 0.7500
Er2 0.1584 0.1201 0.0465
```

What should be chosen as the least stable of them? Choose x.

--- w ---
A relaxed Tb2DyEr5 crystal, computed with PBE.

The structure in CIF format:
```
data_Tb2DyEr5
_cell_length_a 7.0336
_cell_length_b 14.0678
_cell_length_c 4.9676
_cell_angle_alpha 90.00
_cell_angle_beta 90.00
_cell_angle_gamma 90.00
_symmetry_space_group_name_H-M 'P b a m'
_symmetry_Int_Tables_number 55
loop_
_symmetry_equiv_pos_as_xyz
'x,y,z'
'-x,-y,-z'
'-x,-y,z'
'x,y,-z'
'x+1/2,-y+1/2,-z'
'-x+1/2,y+1/2,z'
'-x+1/2,y+1/2,-z'
'x+1/2,-y+1/2,z'
loop_
_atom_site_label
_atom_site_fract_x
_atom_site_fract_y
_atom_site_fract_z
Tb1 0.2502 0.1252 0.0000
Dy1 0.0000 0.0000 0.5000
Er1 0.0000 0.2502 0.5000
Er2 0.0000 0.5000 0.5000
Er3 0.2500 0.3749 0.0000
```

--- x ---
A relaxed Tb2DyEr5 crystal, computed with PBE.

The structure in CIF format:
```
data_Tb2DyEr5
_cell_length_a 16.1587
_cell_length_b 5.5797
_cell_length_c 11.3194
_cell_angle_alpha 90.00
_cell_angle_beta 90.06
_cell_angle_gamma 90.00
_symmetry_space_group_name_H-M 'C 1 2/m 1'
_symmetry_Int_Tables_number 12
loop_
_symmetry_equiv_pos_as_xyz
'x,y,z'
'-x,-y,-z'
'-x,y,-z'
'x,-y,z'
'x+1/2,y+1/2,z'
'-x+1/2,-y+1/2,-z'
'-x+1/2,y+1/2,-z'
'x+1/2,-y+1/2,z'
loop_
_atom_site_label
_atom_site_fract_x
_atom_site_fract_y
_atom_site_fract_z
Tb1 0.2119 0.0000 0.0811
Tb2 0.2122 0.0000 0.4186
Dy1 0.2273 0.0000 0.7503
Er1 0.0439 0.0000 0.8872
Er2 0.0453 0.0000 0.6117
Er3 0.0874 0.5000 0.0780
Er4 0.0870 0.5000 0.4208
Er5 0.1048 0.5000 0.7500
```

What should be chosen as the least stable of them? Choose x.